CsSb2TeBr PBE-GGA relaxed; formation energy from raw total energies = 1223 meV/atom; crystal system = tetragonal; relative energy among the computed polymorphs = 885 meV/atom; SG = No. 123; DOS at the Fermi energy = 1.7090 states/eV/atom
1.0
6.773 0.000 0.000
0.000 6.773 0.000
0.000 0.000 6.541
Cs Sb Te Br
1 2 1 1
direct
0.000 0.000 0.000
0.000 0.500 0.000
0.500 0.000 0.000
0.000 0.000 0.500
0.500 0.500 0.500